No. 1
Material: PmY2RuO8
Method: DFT, PBE
State: optimized geometry

The structure in POSCAR format:
```
PmY2RuO8
1.0
5.076 -0.014 -0.003
0.020 5.075 -0.006
0.004 0.008 6.848
Pm Y Ru O
1 2 1 8
direct
0.000 0.000 0.500 Pm
0.500 0.500 0.750 Y
0.500 0.500 0.250 Y
0.000 0.000 0.000 Ru
0.184 0.815 0.205 O
0.734 0.735 0.000 O
0.816 0.185 0.205 O
0.816 0.185 0.795 O
0.266 0.265 0.000 O
0.184 0.815 0.795 O
0.686 0.687 0.500 O
0.314 0.313 0.500 O
```

The symmetry is Cmmm, No. 65. Its crystal system is orthorhombic.

=====

No. 2
Material: DyBiI2
Method: DFT, PBE
State: optimized geometry

The structure in POSCAR format:
```
DyBiI2
1.0
3.870 0.000 0.000
1.935 3.352 0.000
1.935 1.117 11.422
I Bi Dy
2 1 1
direct
0.106 0.106 0.683 I
0.894 0.894 0.317 I
0.000 0.000 0.000 Bi
0.500 0.500 0.500 Dy
```

The symmetry is R-3m, No. 166. Its crystal system is trigonal.

=====

How do the records compare in ΔE_f (raw)? In the order shown, they have -28.20; -2.41 eV per formula unit.